Entry 1:
Material: Ba2NaMoI
Method: DFT, GGA-PBEsol
State: relaxed

Values from the calculation:
Crystal system: tetragonal

Cell lengths 6.545, 6.545, 4.993 Å; angles 90.00, 90.00, 90.00 degrees
Space group P4/mmm (No. 123)
Symmetry-distinct sites (fractional):
Ba: 0.000 0.500 0.000 [2 per cell]
Na: 0.000 0.000 0.500 [1 per cell]
Mo: 0.500 0.500 0.500 [1 per cell]
I: 0.500 0.500 0.000 [1 per cell]

Entry 2:
Material: Al2CdSe
Method: DFT, GGA-PBEsol
State: relaxed

Values from the calculation:
Crystal system: tetragonal

Cell lengths 3.262, 3.262, 7.111 Å; angles 90.00, 90.00, 90.00 degrees
Space group P4/mmm (No. 123)
Symmetry-distinct sites (fractional):
Al: 0.000 0.000 0.222 [2 per cell]
Cd: 0.500 0.500 0.500 [1 per cell]
Se: 0.500 0.500 0.000 [1 per cell]

Entry 3:
Material: LiPm2Rh
Method: DFT, GGA-PBEsol
State: relaxed

Values from the calculation:
Crystal system: cubic
Formation enthalpy at 0 K, eV/atom: -0.33

Cell lengths 7.054, 7.054, 7.054 Å; angles 90.00, 90.00, 90.00 degrees
Space group Fm-3m (No. 225)
Symmetry-distinct sites (fractional):
Li: 0.000 0.000 0.000 [4 per cell]
Pm: 0.250 0.250 0.250 [8 per cell]
Rh: 0.000 0.000 0.500 [4 per cell]

Entry 4:
Material: KErP2S7
Method: DFT, GGA-PBEsol
State: relaxed

Values from the calculation:
Crystal system: monoclinic

Cell lengths 9.461, 12.156, 8.837 Å; angles 90.00, 90.07, 90.00 degrees
Space group P2_1/c (No. 14)
Symmetry-distinct sites (fractional):
K: 0.109 0.192 0.370 [4 per cell]
Er: 0.359 0.642 0.898 [4 per cell]
P: 0.226 0.605 0.527 [4 per cell]
P: 0.322 0.035 0.700 [4 per cell]
S: 0.130 0.557 0.719 [4 per cell]
S: 0.133 0.713 0.385 [4 per cell]
S: 0.169 0.532 0.071 [4 per cell]
S: 0.259 0.053 0.929 [4 per cell]
S: 0.354 0.195 0.643 [4 per cell]
S: 0.411 0.679 0.587 [4 per cell]
S: 0.499 0.557 0.178 [4 per cell]

Entry 5:
Material: Be2CrCl
Method: DFT, GGA-PBEsol
State: relaxed

Values from the calculation:
Crystal system: monoclinic
Offset from the most stable computed form, meV per atom: 185

Cell lengths 4.073, 2.770, 4.395 Å; angles 90.00, 111.96, 90.00 degrees
Space group P2/m (No. 10)
Symmetry-distinct sites (fractional):
Be: 0.000 0.000 0.000 [1 per cell]
Be: 0.500 0.500 0.000 [1 per cell]
Cr: 0.000 0.500 0.500 [1 per cell]
Cl: 0.500 0.000 0.500 [1 per cell]

Entry 6:
Material: Sm3Ir
Method: DFT, GGA-PBEsol
State: relaxed

Values from the calculation:
Crystal system: orthorhombic
Formation enthalpy at 0 K, eV/atom: -0.47

Cell lengths 7.205, 9.513, 6.341 Å; angles 90.00, 90.00, 90.00 degrees
Space group Pnma (No. 62)
Symmetry-distinct sites (fractional):
Sm: 0.034 0.250 0.137 [4 per cell]
Sm: 0.176 0.063 0.670 [8 per cell]
Ir: 0.119 0.750 0.441 [4 per cell]

Number 1: calculated total energy -3.338 eV/atom. Number 2: calculated total energy -3.314 eV/atom. Number 3: calculated total energy -5.427 eV/atom. Number 4: calculated total energy -5.308 eV/atom. Number 5: calculated total energy -4.474 eV/atom. Number 6: calculated total energy -6.741 eV/atom.